Material: Ca2CdInHg6
Method: DFT, PBE
State: relaxed

Geometry as POSCAR:
```
Ca2CdInHg6
1.0
8.093 0.421 2.142
0.567 7.641 -0.490
6.215 3.993 5.545
Ca Hg Cd In
2 6 1 1
direct
0.309 0.590 0.458
0.691 0.410 0.542
0.669 0.297 0.249
0.030 0.893 0.668
0.712 0.163 0.910
0.288 0.837 0.090
0.331 0.703 0.751
0.970 0.107 0.332
0.500 0.500 0.000
0.000 0.000 0.000
```

Calculated values
energy of formation	-0.274	eV per atom
Fermi-level density of states	3.26	states/eV per cell
DFT total energy	-1.220	eV/atom



Material: Ca2CdInHg5
Method: DFT, PBE
State: relaxed

Geometry as POSCAR:
```
Ca2CdInHg5
1.0
9.376 0.000 0.000
0.000 9.376 0.000
-4.688 -4.688 5.978
Ca Hg In Cd
4 10 2 2
direct
0.374 0.874 0.000
0.874 0.626 0.000
0.126 0.374 0.000
0.626 0.126 0.000
0.170 0.045 0.715
0.455 0.330 0.285
0.955 0.455 0.285
0.670 0.170 0.715
0.500 0.500 0.000
0.830 0.955 0.285
0.000 0.000 0.000
0.045 0.545 0.715
0.545 0.670 0.715
0.330 0.830 0.285
0.750 0.750 0.500
0.250 0.250 0.500
0.250 0.750 0.500
0.750 0.250 0.500
```

Calculated values
energy of formation	-0.156	eV per atom
Fermi-level density of states	11.18	states/eV per cell
DFT total energy	-1.174	eV/atom



Material: Ca2CdInHg4
Method: DFT, PBE
State: relaxed

Geometry as POSCAR:
```
Ca2CdInHg4
1.0
-0.907 -3.274 3.914
3.802 -3.053 1.759
3.245 3.958 7.494
Ca Hg Cd In
2 4 1 1
direct
0.750 0.750 0.749
0.250 0.250 0.251
0.877 0.877 0.370
0.373 0.373 0.882
0.627 0.627 0.118
0.123 0.123 0.630
0.000 0.000 0.000
0.500 0.500 0.500
```

Calculated values
energy of formation	-0.376	eV per atom
Fermi-level density of states	4.94	states/eV per cell
DFT total energy	-1.484	eV/atom



Material: CaCdIn2Hg2
Method: DFT, PBE
State: relaxed

Geometry as POSCAR:
```
CaCdIn2Hg2
1.0
5.430 0.000 0.000
2.715 4.703 0.000
2.715 1.568 6.341
In Ca Hg Cd
2 1 2 1
direct
0.805 0.805 0.585
0.195 0.195 0.415
0.000 0.000 0.000
0.651 0.651 0.047
0.349 0.349 0.953
0.500 0.500 0.500
```

Calculated values
energy of formation	-0.162	eV per atom
Fermi-level density of states	2.00	states/eV per cell
DFT total energy	-1.661	eV/atom



Material: CaCdIn2Hg6
Method: DFT, PBE
State: relaxed

Geometry as POSCAR:
```
CaCdIn2Hg6
1.0
-2.639 0.405 -4.645
-2.727 -6.960 -2.468
-5.999 -0.520 3.179
Ca Hg In Cd
1 6 2 1
direct
0.479 0.557 0.958
0.683 0.156 0.332
0.050 0.379 0.708
0.082 0.352 0.206
0.660 0.163 0.829
0.271 0.969 0.585
0.254 0.967 0.067
0.462 0.558 0.459
0.855 0.771 0.187
0.865 0.788 0.685
```

Calculated values
energy of formation	-0.127	eV per atom
Fermi-level density of states	3.68	states/eV per cell
DFT total energy	-1.148	eV/atom



Material: CaCd2InHg
Method: DFT, PBE
State: relaxed

Geometry as POSCAR:
```
CaCd2InHg
1.0
5.146 0.000 0.000
-2.573 7.620 0.000
0.000 0.000 6.477
Hg Ca Cd In
2 2 4 2
direct
0.390 0.780 0.250
0.610 0.220 0.750
0.599 0.198 0.250
0.401 0.802 0.750
0.201 0.402 0.998
0.201 0.402 0.502
0.799 0.598 0.498
0.799 0.598 0.002
0.000 0.000 0.500
0.000 0.000 0.000
```

Calculated values
energy of formation	-0.241	eV per atom
Fermi-level density of states	4.31	states/eV per cell
DFT total energy	-1.616	eV/atom